Entry 1:
Li2Zn2Rh | PBE | optimized geometry

Computed properties:
Space group ... R-3m
M_tot ... 0.0 μB/cell
Energy of formation from the pure elements ... -30.6 kJ/mol of atoms

abc: 4.2325 4.2368 5.1342
angles: 65.63 65.66 60.03
With the nearest neighbours (Å) after each atom.
Atoms (fractional coordinates):
Rh 0.0000 0.0000 0.0000  6 Zn 2.59, 2 Li 2.72
Li 0.2013 0.2008 0.3967  3 Li 2.61-2.62, 4 Zn 2.62-2.65, 1 Rh 2.72
Li 0.7987 0.7992 0.6033  3 Li 2.61-2.62, 4 Zn 2.62-2.65, 1 Rh 2.72
Zn 0.6032 0.6030 0.1907  3 Rh 2.59, 4 Li 2.62-2.65, 1 Zn 2.79
Zn 0.3968 0.3970 0.8093  3 Rh 2.59, 4 Li 2.62-2.65, 1 Zn 2.79



Entry 2:
Li2Zn6Rh | PBE | optimized geometry

Computed properties:
Space group ... P-31m
M_tot ... 0.2 μB/cell
Energy of formation from the pure elements ... -10.7 kJ/mol of atoms

abc: 2.6507 7.5313 7.5313
angles: 120.00 90.00 90.00
With the nearest neighbours (Å) after each atom.
Atoms (fractional coordinates):
Rh 0.0000 0.0000 0.0000  6 Zn 2.59, 2 Rh 2.65
Li 0.5000 0.3333 0.6667  6 Zn 2.61, 2 Li 2.65
Li 0.5000 0.6667 0.3333  6 Zn 2.61, 2 Li 2.65
Zn 0.2191 0.0000 0.3358  1 Rh 2.59, 2 Li 2.61, 6 Zn 2.65-2.89
Zn 0.7809 0.0000 0.6642  1 Rh 2.59, 2 Li 2.61, 6 Zn 2.65-2.89
Zn 0.2191 0.6642 0.6642  1 Rh 2.59, 2 Li 2.61, 6 Zn 2.65-2.89
Zn 0.7809 0.3358 0.3358  1 Rh 2.59, 2 Li 2.61, 6 Zn 2.65-2.89
Zn 0.7809 0.6642 0.0000  1 Rh 2.59, 2 Li 2.61, 6 Zn 2.65-2.89
Zn 0.2191 0.3358 0.0000  1 Rh 2.59, 2 Li 2.61, 6 Zn 2.65-2.89



Entry 3:
Li2ZnRh | PBE | optimized geometry

Computed properties:
Space group ... P4/mmm
M_tot ... 0.4 μB/cell
Energy of formation from the pure elements ... -9.7 kJ/mol of atoms

abc: 2.6539 2.6539 8.0947
angles: 90.00 90.00 90.00
With the nearest neighbours (Å) after each atom.
Atoms (fractional coordinates):
Li 0.0000 0.0000 0.4861  4 Li 2.65, 4 Rh 2.68, 4 Zn 2.84
Li 0.0000 0.0000 0.0139  4 Li 2.65, 4 Rh 2.68, 4 Zn 2.84
Zn 0.5000 0.5000 0.7500  4 Zn 2.65, 8 Li 2.84
Rh 0.5000 0.5000 0.2500  4 Rh 2.65, 8 Li 2.68



Entry 4:
Li2ZnRh | PBE | optimized geometry

Computed properties:
Space group ... Pmmm
M_tot ... 0.0 μB/cell
Energy of formation from the pure elements ... -30.3 kJ/mol of atoms

abc: 3.1403 4.0968 4.2096
angles: 90.00 90.00 90.00
With the nearest neighbours (Å) after each atom.
Atoms (fractional coordinates):
Li 0.0000 0.0000 0.0000  4 Li 2.58, 4 Rh 2.63
Li 0.5000 0.5000 0.0000  4 Li 2.58, 4 Zn 2.63
Rh 0.5000 0.0000 0.5000  4 Zn 2.58, 4 Li 2.63
Zn 0.0000 0.5000 0.5000  4 Rh 2.58, 4 Li 2.63



Entry 5:
Li5Zn8Rh | PBE | optimized geometry

Computed properties:
Space group ... I-4
M_tot ... 0.0 μB/cell
Energy of formation from the pure elements ... -9.3 kJ/mol of atoms

abc: 6.5427 6.5427 6.5427
angles: 108.53 111.36 108.53
With the nearest neighbours (Å) after each atom.
Atoms (fractional coordinates):
Zn 0.9433 0.0693 0.6335  5 Li 2.51-2.70, 1 Rh 2.54, 2 Zn 2.69-2.81
Zn 0.3665 0.3098 0.4358  5 Li 2.51-2.70, 1 Rh 2.54, 2 Zn 2.69-2.81
Zn 0.7702 0.2837 0.3745  4 Zn 2.60-2.86, 5 Li 2.68-2.86, 1 Rh 2.69
Zn 0.1260 0.6902 0.0567  5 Li 2.51-2.70, 1 Rh 2.54, 2 Zn 2.69-2.81
Zn 0.5642 0.9307 0.8740  5 Li 2.51-2.70, 1 Rh 2.54, 2 Zn 2.69-2.81
Zn 0.5135 0.6043 0.2298  4 Zn 2.60-2.86, 5 Li 2.68-2.86, 1 Rh 2.69
Zn 0.6255 0.3957 0.9092  4 Zn 2.60-2.86, 5 Li 2.68-2.86, 1 Rh 2.69
Zn 0.0908 0.7163 0.4865  4 Zn 2.60-2.86, 5 Li 2.68-2.86, 1 Rh 2.69
Li 0.0078 0.3046 0.0923  6 Zn 2.51-2.80
Li 0.7878 0.6954 0.7033  6 Zn 2.51-2.80
Li 0.5000 0.0000 0.5000  8 Zn 2.54-2.68
Li 0.2967 0.0845 0.9922  6 Zn 2.51-2.80
Li 0.9077 0.9155 0.2122  6 Zn 2.51-2.80
Rh 0.2500 0.5000 0.7500  8 Zn 2.54-2.69



Entry 6:
LiZn5Rh2 | PBE | optimized geometry

Computed properties:
Space group ... I4/mmm
M_tot ... 0.0 μB/cell
Energy of formation from the pure elements ... -34.1 kJ/mol of atoms

abc: 5.3518 5.3520 5.3513
angles: 118.88 118.88 91.96
With the nearest neighbours (Å) after each atom.
Atoms (fractional coordinates):
Zn 0.7779 0.7778 0.5000  4 Rh 2.68, 6 Zn 2.68-2.72, 2 Li 2.68
Zn 0.2778 0.7777 0.0000  4 Rh 2.67-2.68, 6 Zn 2.68-2.72, 2 Li 2.68
Zn 0.2778 0.2779 0.0000  8 Zn 2.68, 4 Rh 2.72
Zn 0.7780 0.2779 0.0000  6 Zn 2.68-2.72, 4 Rh 2.68, 2 Li 2.68
Zn 0.2779 0.2778 0.5000  4 Rh 2.68, 2 Li 2.68, 6 Zn 2.68-2.72
Li 0.7779 0.7778 0.0000  8 Zn 2.68, 4 Rh 2.72
Rh 0.2779 0.7780 0.5001  10 Zn 2.68-2.72, 2 Li 2.72
Rh 0.7778 0.2780 0.4999  10 Zn 2.67-2.72, 2 Li 2.72



Entry 7:
Li4ZnRh4 | PBE | optimized geometry

Computed properties:
Space group ... I4/mmm
M_tot ... 1.3 μB/cell
Energy of formation from the pure elements ... -13.7 kJ/mol of atoms

abc: 3.8309 5.9860 5.9860
angles: 84.12 71.34 71.34
With the nearest neighbours (Å) after each atom.
Atoms (fractional coordinates):
Li 0.6796 0.3203 0.3204  1 Zn 2.57, 6 Rh 2.64-2.68, 4 Li 2.80
Li 0.0000 0.6796 0.3203  1 Zn 2.57, 6 Rh 2.64-2.68, 4 Li 2.80
Li 0.3204 0.6797 0.6796  1 Zn 2.57, 6 Rh 2.64-2.68, 4 Li 2.80
Li 0.0000 0.3204 0.6797  1 Zn 2.57, 6 Rh 2.64-2.68, 4 Li 2.80
Rh 0.6666 0.6668 0.0000  6 Li 2.64-2.68, 4 Rh 2.67-2.69, 2 Zn 2.69
Rh 0.3334 0.0000 0.3332  6 Li 2.64-2.68, 4 Rh 2.67-2.69, 2 Zn 2.69
Rh 0.6666 0.0000 0.6668  6 Li 2.64-2.68, 4 Rh 2.67-2.69, 2 Zn 2.69
Rh 0.3334 0.3332 0.0000  6 Li 2.64-2.68, 4 Rh 2.67-2.69, 2 Zn 2.69
Zn 0.0000 0.0000 0.0000  4 Li 2.57, 8 Rh 2.69



Entry 8:
Li4ZnRh | PBE | optimized geometry

Computed properties:
Space group ... F-43m
M_tot ... 0.0 μB/cell
Energy of formation from the pure elements ... -1.4 kJ/mol of atoms

abc: 4.8222 4.8222 4.8222
angles: 60.00 60.00 60.00
With the nearest neighbours (Å) after each atom.
Atoms (fractional coordinates):
Li 0.3764 0.3764 0.3764  6 Li 2.38-2.44
Li 0.3764 0.8709 0.3764  6 Li 2.38-2.44
Li 0.8709 0.3764 0.3764  6 Li 2.38-2.44
Li 0.3764 0.3764 0.8709  6 Li 2.38-2.44
Rh 0.7500 0.7500 0.7500  12 Li 2.82, 4 Zn 2.95
Zn 0.0000 0.0000 0.0000  12 Li 2.83, 4 Rh 2.95



Entry 9:
Li2Zn8Rh | PBE | optimized geometry

Computed properties:
Space group ... Immm
M_tot ... 0.0 μB/cell
Energy of formation from the pure elements ... -16.4 kJ/mol of atoms

abc: 3.8668 8.1542 7.0732
angles: 125.20 105.86 90.00
With the nearest neighbours (Å) after each atom.
Atoms (fractional coordinates):
Zn 0.0000 0.7812 0.0000  2 Rh 2.63, 6 Zn 2.63-2.68, 2 Li 2.77
Zn 0.6631 0.9192 0.3261  7 Zn 2.63-2.78, 1 Rh 2.67, 3 Li 2.85-2.90
Zn 0.8164 0.8164 0.6328  8 Zn 2.67-2.78, 2 Li 2.70, 2 Rh 2.78
Zn 0.0000 0.2188 0.0000  2 Rh 2.63, 6 Zn 2.63-2.68, 2 Li 2.77
Zn 0.6631 0.4069 0.3261  7 Zn 2.63-2.78, 1 Rh 2.67, 3 Li 2.85-2.90
Zn 0.3369 0.5931 0.6739  7 Zn 2.63-2.78, 1 Rh 2.67, 3 Li 2.85-2.90
Zn 0.3369 0.0808 0.6739  7 Zn 2.63-2.78, 1 Rh 2.67, 3 Li 2.85-2.90
Zn 0.1836 0.1836 0.3672  8 Zn 2.67-2.78, 2 Li 2.70, 2 Rh 2.78
Li 0.8569 0.3569 0.7137  10 Zn 2.70-2.90
Li 0.1431 0.6431 0.2863  10 Zn 2.70-2.90
Rh 0.5000 0.0000 0.0000  12 Zn 2.63-2.78



Entry 10:
Li6ZnRh2 | PBE | optimized geometry

Computed properties:
Space group ... C2/m
M_tot ... 0.0 μB/cell
Energy of formation from the pure elements ... -12.7 kJ/mol of atoms

abc: 2.9788 7.4642 7.4642
angles: 125.32 85.38 85.38
With the nearest neighbours (Å) after each atom.
Atoms (fractional coordinates):
Li 0.3591 0.3047 0.3047  2 Zn 2.51-2.57, 4 Li 2.73-2.78
Li 0.8347 0.4985 0.1491  1 Li 2.37, 1 Rh 2.60
Li 0.8347 0.1491 0.4985  1 Li 2.37, 1 Rh 2.60
Li 0.1653 0.8509 0.5015  1 Li 2.37, 1 Rh 2.60
Li 0.1653 0.5015 0.8509  1 Li 2.37, 1 Rh 2.60
Li 0.6409 0.6953 0.6953  2 Zn 2.51-2.57, 4 Li 2.73-2.78
Rh 0.5000 0.8451 0.1549  2 Zn 2.54, 6 Li 2.60-2.72
Rh 0.5000 0.1549 0.8451  2 Zn 2.54, 6 Li 2.60-2.72
Zn 0.0000 0.0000 0.0000  4 Li 2.51-2.57, 4 Rh 2.54



Entry 11:
LiZn4Rh3 | PBE | optimized geometry

Computed properties:
Space group ... I4/mmm
M_tot ... 0.0 μB/cell
Energy of formation from the pure elements ... -42.1 kJ/mol of atoms

abc: 4.2722 4.2722 6.7356
angles: 108.47 108.49 90.00
With the nearest neighbours (Å) after each atom.
Atoms (fractional coordinates):
Zn 0.3737 0.3738 0.7475  6 Rh 2.60-2.62, 2 Li 2.62
Zn 0.8737 0.8737 0.7475  6 Rh 2.60-2.62, 2 Li 2.62
Zn 0.1263 0.1263 0.2525  6 Rh 2.60-2.62, 2 Li 2.62
Zn 0.6263 0.6262 0.2525  6 Rh 2.60-2.62, 2 Li 2.62
Li 0.5000 0.0000 0.0000  8 Zn 2.62
Rh 0.7510 0.2509 0.5020  8 Zn 2.60-2.61
Rh 0.2490 0.7491 0.4980  8 Zn 2.60-2.61
Rh 0.0000 0.5000 0.0000  8 Zn 2.62



Entry 12:
LiZn3Rh4 | PBE | optimized geometry

Computed properties:
Space group ... I4/mmm
M_tot ... 0.0 μB/cell
Energy of formation from the pure elements ... -27.5 kJ/mol of atoms

abc: 4.2609 4.2608 6.7035
angles: 108.53 108.53 90.00
With the nearest neighbours (Å) after each atom.
Atoms (fractional coordinates):
Rh 0.3760 0.3759 0.7519  2 Li 2.60, 6 Zn 2.60-2.62
Rh 0.6240 0.6241 0.2481  2 Li 2.60, 6 Zn 2.60-2.62
Rh 0.1240 0.1238 0.2481  6 Zn 2.60-2.62, 2 Li 2.60
Rh 0.8760 0.8762 0.7519  6 Zn 2.60-2.62, 2 Li 2.60
Zn 0.7485 0.2487 0.4971  8 Rh 2.60-2.62
Zn 0.2515 0.7513 0.5029  8 Rh 2.60-2.62
Zn 0.0000 0.5000 0.0000  8 Rh 2.60
Li 0.5000 0.0000 0.0000  8 Rh 2.60



> Look up the M_tot of the second one.

0.2 μB/cell



> Among the records above, which one has the highest energy of formation from the pure elements?

Li4ZnRh



> What is the formula in the third record?

Li2ZnRh



> What is the formula in the third record?

Li2ZnRh